(1)
An optimized crystal structure of BaSb4, computed with PBE-GGA.

Lattice parameters (Å, degrees): 7.418 7.418 7.418 90.00 90.00 90.00
Space group Im-3m (No. 229)
Inequivalent atoms, fractional coordinates:
Ba (0.000, 0.000, 0.000) x2
Sb (0.250, 0.250, 0.250) x8

Output
electronic total energy	-3.307	eV/atom
DOS at the Fermi energy	0.997	states/eV/atom
theoretical density	5.08	g/cm3
raw formation energy	0.38	eV/atom
energy above the most stable polymorph in this dataset	0.6790	eV per atom
size of the total moment	0.0	μB per formula unit

=====

(2)
An optimized crystal structure of CsBiTeCl2, computed with PBE-GGA.

Lattice parameters (Å, degrees): 4.503 18.915 8.967 90.00 90.00 90.00
Space group Cmcm (No. 63)
Inequivalent atoms, fractional coordinates:
Cs (0.000, 0.225, 0.250) x4
Bi (0.000, 0.500, 0.000) x4
Te (0.000, 0.025, 0.750) x4
Cl (0.000, 0.356, 0.519) x8

Output
electronic total energy	-3.397	eV/atom
theoretical density	4.70	g/cm3
raw formation energy	-1.08	eV/atom
size of the total moment	0.0	μB per formula unit

=====

(3)
An optimized crystal structure of Pu2Si2Ag, computed with PBE-GGA.

Lattice parameters (Å, degrees): 4.060 5.671 9.057 90.00 90.00 90.00
Space group Immm (No. 71)
Inequivalent atoms, fractional coordinates:
Pu (0.000, 0.000, 0.209) x4
Si (0.000, 0.286, 0.500) x4
Ag (0.000, 0.500, 0.000) x2

Output
electronic total energy	-8.736	eV/atom
DOS at the Fermi energy	3.316	states/eV/atom
theoretical density	10.38	g/cm3
raw formation energy	-0.26	eV/atom
energy above the most stable polymorph in this dataset	0.0562	eV per atom
size of the total moment	11.6	μB per formula unit